Record 1
VASP calculation (PBE-GGA) on an optimized crystal structure of Th4As3Os.

Summary:
D(E_F): 6.0 states/eV/f.u.
DFT formation energy: -1.09 eV per atom

Cell: 7.2492 7.4454 8.5181 Å, 90.00 90.00 109.31°
Closest atoms and distances in Å follow each position.
Positions (direct):
As  0.7500  0.0000  0.3784  6 Th 3.01-3.04
As  0.2500  0.0000  0.6216  6 Th 3.01-3.04
As  0.7500  0.5000  0.6179  6 Th 2.99-3.14
As  0.7500  0.5000  0.1265  6 Th 2.99-3.13
As  0.2500  0.5000  0.3821  6 Th 2.99-3.14
As  0.2500  0.5000  0.8735  6 Th 2.99-3.13
Os  0.7500  0.0000  0.8754  6 Th 2.86-2.92
Os  0.2500  0.0000  0.1246  6 Th 2.86-2.92
Th  0.9882  0.2409  0.6377  1 Os 2.87, 5 As 2.99-3.10
Th  0.5047  0.2322  0.8826  2 Os 2.86-2.92, 4 As 3.02-3.14
Th  0.4882  0.2409  0.3623  1 Os 2.87, 5 As 2.99-3.10
Th  0.0047  0.2322  0.1174  2 Os 2.86-2.92, 4 As 3.02-3.14
Th  0.9953  0.7678  0.8826  2 Os 2.86-2.92, 4 As 3.02-3.14
Th  0.5118  0.7591  0.6377  1 Os 2.87, 5 As 2.99-3.10
Th  0.4953  0.7678  0.1174  2 Os 2.86-2.92, 4 As 3.02-3.14
Th  0.0118  0.7591  0.3623  1 Os 2.87, 5 As 2.99-3.10



Record 2
VASP calculation (PBE-GGA) on an optimized crystal structure of ThAsOs.

Summary:
D(E_F): 3.5 states/eV/f.u.
DFT formation energy: -0.22 eV per atom

Cell: 3.9143 3.9110 9.0371 Å, 77.50 90.00 90.00°
Closest atoms and distances in Å follow each position.
Positions (direct):
Th  0.2500  0.8798  0.2405  4 As 2.99, 4 Os 3.01-3.02
Th  0.7500  0.1202  0.7595  4 As 2.99, 4 Os 3.01-3.02
Os  0.2500  0.2496  0.5009  4 Os 2.77, 4 Th 3.01-3.02
Os  0.7500  0.7504  0.4991  4 Os 2.77, 4 Th 3.01-3.02
As  0.2500  0.5560  0.8881  2 As 2.78, 4 Th 2.99
As  0.7500  0.4440  0.1119  2 As 2.78, 4 Th 2.99



Record 3
VASP calculation (PBE-GGA) on an optimized crystal structure of Ti2As2Os.

Summary:
D(E_F): 6.6 states/eV/f.u.
DFT formation energy: -0.42 eV per atom

Cell: 6.7169 6.7169 3.4606 Å, 90.00 90.00 90.00°
Closest atoms and distances in Å follow each position.
Positions (direct):
As  0.3491  0.8491  0.0000  2 Os 2.55, 6 Ti 2.56-2.66
As  0.8491  0.6509  0.0000  2 Os 2.55, 6 Ti 2.56-2.66
As  0.6509  0.1509  0.0000  2 Os 2.55, 6 Ti 2.56-2.66
As  0.1509  0.3491  0.0000  2 Os 2.55, 6 Ti 2.56-2.66
Os  0.0000  0.0000  0.0000  4 As 2.55
Os  0.5000  0.5000  0.0000  4 As 2.55
Ti  0.1499  0.6499  0.5000  6 As 2.56-2.66, 1 Ti 2.85
Ti  0.6499  0.8501  0.5000  6 As 2.56-2.66, 1 Ti 2.85
Ti  0.8501  0.3501  0.5000  6 As 2.56-2.66, 1 Ti 2.85
Ti  0.3501  0.1499  0.5000  6 As 2.56-2.66, 1 Ti 2.85



Record 4
VASP calculation (PBE-GGA) on an optimized crystal structure of TiAs3Os.

Summary:
D(E_F): 7.5 states/eV/f.u.
DFT formation energy: 0.80 eV per atom
Distance to the lowest polymorph of the same formula: 0 kJ/mol of formula units

Cell: 4.8080 4.8080 4.8080 Å, 90.00 90.00 90.00°
Closest atoms and distances in Å follow each position.
Positions (direct):
As  0.0000  0.5000  0.0000  2 Os 2.40
As  0.0000  0.0000  0.5000  2 Os 2.40
As  0.5000  0.0000  0.0000  2 Os 2.40
Os  0.0000  0.0000  0.0000  6 As 2.40
Ti  0.5000  0.5000  0.5000  12 As 3.40



Record 5
VASP calculation (PBE-GGA) on an optimized crystal structure of TiAsOs2.

Summary:
D(E_F): 3.0 states/eV/f.u.
DFT formation energy: 0.27 eV per atom

Cell: 3.9024 3.9024 9.1110 Å, 77.63 77.63 90.00°
Closest atoms and distances in Å follow each position.
Positions (direct):
As  0.0000  0.0000  0.0000  4 Os 2.52, 4 Ti 2.76
As  0.7500  0.2500  0.5000  4 Os 2.52, 4 Ti 2.76
Os  0.6617  0.1250  0.2500  2 As 2.52, 2 Os 2.57, 2 Ti 2.63
Os  0.0883  0.6250  0.2500  2 As 2.52, 2 Os 2.57, 2 Ti 2.63
Os  0.3750  0.3383  0.7500  2 As 2.52, 2 Os 2.57, 2 Ti 2.63
Os  0.8750  0.9117  0.7500  2 As 2.52, 2 Os 2.57, 2 Ti 2.63
Ti  0.5000  0.5000  0.0000  4 Os 2.63, 4 As 2.76
Ti  0.2500  0.7500  0.5000  4 Os 2.63, 4 As 2.76



Record 6
VASP calculation (PBE-GGA) on an optimized crystal structure of TiAs2Os.

Summary:
D(E_F): 4.0 states/eV/f.u.
DFT formation energy: -0.11 eV per atom
Distance to the lowest polymorph of the same formula: 0 kJ/mol of formula units

Cell: 4.4260 4.4260 4.4260 Å, 60.00 60.00 60.00°
Closest atoms and distances in Å follow each position.
Positions (direct):
As  0.2500  0.2500  0.2500  4 Os 2.71, 4 Ti 2.71
As  0.7500  0.7500  0.7500  4 Os 2.71, 4 Ti 2.71
Os  0.5000  0.5000  0.5000  8 As 2.71
Ti  0.0000  0.0000  0.0000  8 As 2.71



Record 7
VASP calculation (PBE-GGA) on an optimized crystal structure of Ti8As2Os.

Summary:
D(E_F): 10.6 states/eV/f.u.
DFT formation energy: -0.49 eV per atom

Cell: 3.8494 6.7318 7.7938 Å, 112.28 104.30 90.00°
Closest atoms and distances in Å follow each position.
Positions (direct):
Ti  0.4179  0.5482  0.8359  2 As 2.61, 5 Ti 2.72-2.92, 1 Os 2.80
Ti  0.6722  0.9302  0.3444  3 As 2.63-2.66, 4 Ti 2.69-2.90, 1 Os 2.82
Ti  0.8224  0.7244  0.6448  3 As 2.64-2.68, 2 Ti 2.92
Ti  0.9634  0.1996  0.9267  2 Os 2.53, 4 Ti 2.69-2.72, 1 As 2.77
Ti  0.1776  0.2756  0.3552  3 As 2.64-2.68, 2 Ti 2.92
Ti  0.3278  0.0698  0.6556  3 As 2.63-2.66, 4 Ti 2.69-2.90, 1 Os 2.82
Ti  0.5821  0.4518  0.1641  2 As 2.61, 5 Ti 2.72-2.92, 1 Os 2.80
Ti  0.0366  0.8004  0.0733  2 Os 2.53, 4 Ti 2.69-2.72, 1 As 2.77
As  0.8077  0.3208  0.6154  9 Ti 2.61-2.77
As  0.1923  0.6792  0.3846  9 Ti 2.61-2.77
Os  0.5000  0.0000  0.0000  8 Ti 2.53-2.82



Record 8
VASP calculation (PBE-GGA) on an optimized crystal structure of TiAs2Os.

Summary:
D(E_F): 3.9 states/eV/f.u.
DFT formation energy: 0.08 eV per atom
Distance to the lowest polymorph of the same formula: 72 kJ/mol of formula units

Cell: 4.0088 4.0088 9.0247 Å, 77.17 77.17 90.00°
Closest atoms and distances in Å follow each position.
Positions (direct):
As  0.6376  0.1250  0.2500  2 Os 2.55, 2 Ti 2.59, 2 As 2.76
As  0.1124  0.6250  0.2500  2 Os 2.55, 2 Ti 2.59, 2 As 2.76
As  0.3750  0.3624  0.7500  2 Os 2.55, 2 Ti 2.59, 2 As 2.76
As  0.8750  0.8876  0.7500  2 Os 2.55, 2 Ti 2.59, 2 As 2.76
Os  0.0000  0.0000  0.0000  4 As 2.55, 4 Ti 2.83
Os  0.7500  0.2500  0.5000  4 As 2.55, 4 Ti 2.83
Ti  0.5000  0.5000  0.0000  4 As 2.59, 4 Os 2.83
Ti  0.2500  0.7500  0.5000  4 As 2.59, 4 Os 2.83